<w>
{
  "formula": "TlPt2N",
  "functional": "PBE",
  "state": "optimized geometry",
  "dos_at_fermi_per_ev_fu": 2.544,
  "spacegroup": "Fm-3m, No. 225",
  "lattice_angstrom": [[1.370, -2.851, 3.205], [0.048, 1.309, 4.308], [-2.978, -1.718, 2.908]],
  "species": ["Tl", "Pt", "Pt", "N"],
  "fractional_positions": [[0.500, 0.500, 0.500], [0.250, 0.250, 0.250], [0.750, 0.750, 0.750], [0.000, 0.000, 0.000]]
}

<x>
{
  "formula": "TlPt2N",
  "functional": "PBE",
  "state": "optimized geometry",
  "dos_at_fermi_per_ev_fu": 2.146,
  "spacegroup": "I-42d, No. 122",
  "lattice_angstrom": [[-3.727, 1.861, -3.298], [-3.787, -1.829, 3.247], [-3.754, 5.228, 2.913]],
  "species": ["Tl", "Tl", "Pt", "Pt", "Pt", "Pt", "N", "N"],
  "fractional_positions": [[0.000, 0.000, 0.000], [0.750, 0.250, 0.500], [0.376, 0.125, 0.250], [0.374, 0.625, 0.250], [0.375, 0.624, 0.750], [0.875, 0.626, 0.750], [0.500, 0.500, 0.000], [0.250, 0.750, 0.500]]
}

So which one is most stable? That would be <x>, about 0.983 eV/atom below the next structure.

<w>
{
  "formula": "UPtN",
  "functional": "PBE",
  "state": "optimized geometry",
  "dos_at_fermi_per_ev_fu": 3.049,
  "spacegroup": "C2/m, No. 12",
  "lattice_angstrom": [[-1.201, 3.515, 0.844], [-1.781, -2.026, -2.694], [-3.528, -2.929, 7.183]],
  "species": ["N", "N", "Pt", "Pt", "U", "U"],
  "fractional_positions": [[0.196, 0.393, 0.091], [0.804, 0.607, 0.909], [0.303, 0.607, 0.407], [0.697, 0.393, 0.593], [0.109, 0.217, 0.824], [0.891, 0.783, 0.176]]
}

<x>
{
  "formula": "UPtN",
  "functional": "PBE",
  "state": "optimized geometry",
  "dos_at_fermi_per_ev_fu": 3.564,
  "spacegroup": "P-6m2, No. 187",
  "lattice_angstrom": [[4.116, 0.000, 0.000], [0.000, 3.778, 0.000], [0.000, -1.889, 3.272]],
  "species": ["U", "Pt", "N"],
  "fractional_positions": [[0.166, 0.667, 0.333], [0.667, 0.333, 0.667], [0.167, 0.000, 0.000]]
}

So which one is most stable? That would be <w>, about 0.107 eV/atom below the next structure.